First-principles (GGA-PBE) data for a relaxed structure of B7C5, as listed in Alexandria via LeMat-Bulk.

POSCAR file:
```
B7C5
1.0
2.4414 0.0000 0.0000
0.0000 2.4414 0.0000
0.0000 0.0000 13.5504
B C
7 5
direct
0.0000 0.0000 0.0000
0.0000 0.5000 0.5798
0.0000 0.5000 0.9031
0.5000 0.0000 0.0969
0.5000 0.0000 0.4202
0.5000 0.5000 0.1948
0.5000 0.5000 0.8052
0.0000 0.0000 0.3381
0.0000 0.0000 0.6619
0.0000 0.5000 0.2758
0.5000 0.0000 0.7242
0.5000 0.5000 0.5000
```

Calculated values
Total magnetic moment   0.00 μB per formula unit
Raw total energy   -7.36 eV/atom
Energy relative to the lowest polymorph listed for this composition   217.9 meV/atom
Formation energy   0.382 eV per atom
Space group   P-4m2, No. 115
Crystal system   tetragonal


First-principles (GGA-PBE) data for a relaxed structure of BC, as listed in Alexandria via LeMat-Bulk.

POSCAR file:
```
BC
1.0
4.5229 -1.3259 0.0000
4.5229 1.3259 0.0000
-4.0806 0.0000 7.1998
B C
6 6
direct
0.0000 0.0000 0.0000
0.0099 0.0099 0.3512
0.3243 0.3243 0.0296
0.4137 0.4137 0.6739
0.6134 0.6134 0.5181
0.6923 0.6923 0.3412
0.1135 0.1135 0.2232
0.2079 0.2079 0.8169
0.4297 0.4297 0.8814
0.6261 0.6261 0.7174
0.8147 0.8147 0.5533
0.8948 0.8948 0.1401
```

Calculated values
Total magnetic moment   0.00 μB per formula unit
Raw total energy   -7.58 eV/atom
Energy relative to the lowest polymorph listed for this composition   224.2 meV/atom
Formation energy   0.375 eV per atom
Space group   Cm, No. 8
Crystal system   monoclinic


First-principles (GGA-PBE) data for a relaxed structure of B3C2, as listed in Alexandria via LeMat-Bulk.

POSCAR file:
```
B3C2
1.0
6.5433 -1.3030 0.0000
6.5433 1.3030 0.0000
-1.1498 0.0000 4.2602
B C
6 4
direct
0.0000 0.0000 0.0000
0.1149 0.1149 0.8173
0.5166 0.5166 0.3033
0.6842 0.6842 0.3453
0.8605 0.8605 0.9790
0.9275 0.9275 0.6317
0.2078 0.2078 0.1573
0.3177 0.3177 0.1120
0.4077 0.4077 0.4278
0.6233 0.6233 0.5928
```

Calculated values
Total magnetic moment   0.00 μB per formula unit
Raw total energy   -7.32 eV/atom
Energy relative to the lowest polymorph listed for this composition   163.5 meV/atom
Formation energy   0.374 eV per atom
Space group   Cm, No. 8
Crystal system   monoclinic


First-principles (GGA-PBE) data for a relaxed structure of B7C5, as listed in Alexandria via LeMat-Bulk.

POSCAR file:
```
B7C5
1.0
4.4549 0.0000 0.0000
0.0000 2.6653 0.0000
-0.4438 0.0000 6.9411
B C
7 5
direct
0.0000 0.0000 0.0000
0.0227 0.0000 0.7499
0.3606 0.0000 0.6258
0.3918 0.5000 0.7819
0.6069 0.0000 0.1008
0.7392 0.5000 0.6569
0.8149 0.5000 0.3868
0.1349 0.5000 0.1060
0.1549 0.5000 0.3235
0.3161 0.0000 0.4009
0.4522 0.5000 0.0074
0.6422 0.0000 0.3323
```

Calculated values
Total magnetic moment   0.00 μB per formula unit
Raw total energy   -7.22 eV/atom
Energy relative to the lowest polymorph listed for this composition   351.8 meV/atom
Formation energy   0.516 eV per atom
Space group   Pm, No. 6
Crystal system   monoclinic